#a
BaIr2RuRh | GGA-PBE | optimized geometry

a b c (Å): 5.0247 4.9498 5.0247
angles (deg): 90.00 90.00 90.00
Last column: magnetic moment on the atom in μB.
Fractional coordinates of all 5 atoms:
Ru (0.0000, 0.5000, 0.0000)  1.48
Ir (0.0000, 0.0000, 0.5000)  0.50
Ir (0.5000, 0.0000, 0.0000)  0.72
Rh (0.5000, 0.5000, 0.5000)  1.31
Ba (0.0000, 0.0000, 0.0000)  -0.05

Its space group is P4/mmm.

#b
BaIr2RuRh | GGA-PBE | optimized geometry

a b c (Å): 4.7592 5.6189 4.7592
angles (deg): 90.00 90.00 90.00
Last column: magnetic moment on the atom in μB.
Fractional coordinates of all 5 atoms:
Ru (0.5000, 0.5000, 0.5000)  2.19
Ir (0.0000, 0.0000, 0.5000)  0.12
Ir (0.5000, 0.0000, 0.0000)  0.19
Rh (0.0000, 0.0000, 0.0000)  0.06
Ba (0.0000, 0.5000, 0.0000)  -0.04

Its space group is P4/mmm.

The least stable of them is #a.

#a
BaIrRu2 | GGA-PBE | optimized geometry

a b c (Å): 5.1495 5.1495 2.9038
angles (deg): 90.00 90.00 107.54
Fractional coordinates of all 4 atoms:
Ba (0.5000, 0.0000, 0.5000)
Ir (0.0000, 0.5000, 0.5000)
Ru (0.0000, 0.0000, 0.0000)
Ru (0.5000, 0.5000, 0.0000)

Its space group is Cmmm.

#b
BaIrRu2 | GGA-PBE | optimized geometry

a b c (Å): 4.4212 4.4212 6.3238
angles (deg): 69.56 69.56 60.00
Fractional coordinates of all 4 atoms:
Ba (0.4999, 0.4999, 0.4992)
Ir (0.3157, 0.3157, 0.0535)
Ru (0.0021, 0.0021, 0.9942)
Ru (0.6824, 0.6824, 0.9531)

Its space group is R3m.

The least stable of them is #a.

#a
BaSb3Ir | GGA-PBE | optimized geometry

a b c (Å): 5.3696 5.3696 5.3696
angles (deg): 90.00 90.00 90.00
Fractional coordinates of all 5 atoms:
Sb (0.0000, 0.5000, 0.0000)
Sb (0.0000, 0.0000, 0.5000)
Sb (0.5000, 0.0000, 0.0000)
Ir (0.0000, 0.0000, 0.0000)
Ba (0.5000, 0.5000, 0.5000)

Its space group is Pm-3m.

#b
BaSb3Ir | GGA-PBE | optimized geometry

a b c (Å): 6.1156 6.1156 6.1156
angles (deg): 90.00 90.00 90.00
Last column: magnetic moment on the atom in μB.
Fractional coordinates of all 5 atoms:
Sb (0.0000, 0.5000, 0.0000)  0.03
Sb (0.0000, 0.0000, 0.5000)  -0.02
Sb (0.5000, 0.0000, 0.0000)  0.03
Ir (0.5000, 0.5000, 0.5000)  2.19
Ba (0.0000, 0.0000, 0.0000)  0.04

Its space group is Pm-3m.

The least stable of them is #b.

#a
BaSb2TeIr | GGA-PBE | optimized geometry

a b c (Å): 6.2720 6.2720 6.2279
angles (deg): 90.00 90.00 90.00
Last column: magnetic moment on the atom in μB.
Fractional coordinates of all 5 atoms:
Sb (0.0000, 0.5000, 0.0000)  -0.04
Sb (0.5000, 0.0000, 0.0000)  -0.04
Ir (0.5000, 0.5000, 0.5000)  2.21
Te (0.0000, 0.0000, 0.5000)  0.02
Ba (0.0000, 0.0000, 0.0000)  0.02

Its space group is P4/mmm.

#b
BaSb2TeIr | GGA-PBE | optimized geometry

a b c (Å): 5.1549 5.1549 6.0087
angles (deg): 90.00 90.00 90.00
Fractional coordinates of all 5 atoms:
Sb (0.0000, 0.5000, 0.0000)
Sb (0.5000, 0.0000, 0.0000)
Ir (0.0000, 0.0000, 0.0000)
Te (0.0000, 0.0000, 0.5000)
Ba (0.5000, 0.5000, 0.5000)

Its space group is P4/mmm.

The least stable of them is #a.

#a
BaSc2Ir2 | GGA-PBE | optimized geometry

a b c (Å): 4.4983 4.4983 6.6374
angles (deg): 70.19 70.19 90.00
Fractional coordinates of all 5 atoms:
Sc (0.7500, 0.2500, 0.5000)
Sc (0.2500, 0.7500, 0.5000)
Ir (0.3841, 0.3841, 0.2318)
Ir (0.6159, 0.6159, 0.7682)
Ba (0.0000, 0.0000, 0.0000)

Its space group is I4/mmm.

#b
BaSc2Ir2 | GGA-PBE | optimized geometry

a b c (Å): 4.8085 4.8085 6.5377
angles (deg): 68.42 68.42 90.00
Last column: magnetic moment on the atom in μB.
Fractional coordinates of all 5 atoms:
Sc (0.3415, 0.3415, 0.3169)  0.10
Sc (0.6585, 0.6585, 0.6831)  0.10
Ir (0.7500, 0.2500, 0.5000)  0.04
Ir (0.2500, 0.7500, 0.5000)  0.04
Ba (0.0000, 0.0000, 0.0000)  0.01

Its space group is I4/mmm.

The least stable of them is #b.

#a
BaSc2Ir | GGA-PBE | optimized geometry

a b c (Å): 6.3835 6.3835 6.3835
angles (deg): 147.95 125.31 64.81
Fractional coordinates of all 4 atoms:
Ba (0.7500, 0.2500, 0.5000)
Ir (0.2500, 0.7500, 0.5000)
Sc (0.0694, 0.0694, 0.0000)
Sc (0.4306, 0.4306, 0.0000)

Its space group is Immm.

#b
BaSc2Ir | GGA-PBE | optimized geometry

a b c (Å): 5.8952 5.8952 5.8952
angles (deg): 137.24 137.24 62.07
Fractional coordinates of all 4 atoms:
Ba (0.5000, 0.5000, 0.0000)
Ir (0.7500, 0.2500, 0.5000)
Sc (0.0000, 0.0000, 0.0000)
Sc (0.2500, 0.7500, 0.5000)

Its space group is I-4m2.

#c
BaSc2Ir | GGA-PBE | optimized geometry

a b c (Å): 10.3546 10.3546 10.3546
angles (deg): 21.73 21.73 21.73
Fractional coordinates of all 4 atoms:
Sc (0.8762, 0.8762, 0.8762)
Sc (0.1238, 0.1238, 0.1238)
Ir (0.5000, 0.5000, 0.5000)
Ba (0.0000, 0.0000, 0.0000)

Its space group is R-3m.

The least stable of them is #b.

#a
BaSc2Ir | GGA-PBE | optimized geometry

a b c (Å): 3.3849 3.3594 9.8935
angles (deg): 70.26 90.00 90.00
Fractional coordinates of all 4 atoms:
Ba (0.5000, 0.2500, 0.2500)
Ir (0.5000, 0.7500, 0.7500)
Sc (0.0000, 0.0908, 0.9095)
Sc (0.0000, 0.4092, 0.5905)

Its space group is P2/m.

#b
BaSc2Ir | GGA-PBE | optimized geometry

a b c (Å): 4.8822 7.6953 3.8958
angles (deg): 59.57 90.01 125.88
Fractional coordinates of all 4 atoms:
Ba (0.5000, 0.5000, 0.0000)
Ir (0.5000, 0.0000, 0.5000)
Sc (0.0000, 0.0000, 0.0000)
Sc (0.0000, 0.5000, 0.5000)

Its space group is Cmmm.

#c
BaSc2Ir | GGA-PBE | optimized geometry

a b c (Å): 4.2050 4.7304 4.8215
angles (deg): 90.00 90.00 90.00
Fractional coordinates of all 4 atoms:
Ba (0.5000, 0.0000, 0.5000)
Ir (0.0000, 0.5000, 0.5000)
Sc (0.0000, 0.0000, 0.0000)
Sc (0.5000, 0.5000, 0.0000)

Its space group is Pmmm.

#d
BaSc2Ir | GGA-PBE | optimized geometry

a b c (Å): 3.7229 3.7238 8.1613
angles (deg): 90.00 90.00 90.00
Fractional coordinates of all 4 atoms:
Ba (0.0000, 0.0000, 0.5340)
Ir (0.5000, 0.5000, 0.8572)
Sc (0.0000, 0.0000, 0.9386)
Sc (0.5000, 0.5000, 0.1702)

Its space group is P4mm.

The least stable of them is #b.

#a
BaSc2Ir | GGA-PBE | optimized geometry

a b c (Å): 5.1163 5.1163 5.1163
angles (deg): 60.00 60.00 60.00
Fractional coordinates of all 4 atoms:
Ba (0.5000, 0.5000, 0.5000)
Ir (0.7500, 0.7500, 0.7500)
Sc (0.0000, 0.0000, 0.0000)
Sc (0.2500, 0.2500, 0.2500)

Its space group is F-43m.

#b
BaSc2Ir | GGA-PBE | optimized geometry

a b c (Å): 4.6043 4.1746 6.9099
angles (deg): 72.89 90.00 90.00
Fractional coordinates of all 4 atoms:
Ba (0.0000, 0.5241, 0.5687)
Ir (0.5000, 0.8938, 0.8359)
Sc (0.0000, 0.8044, 0.0211)
Sc (0.5000, 0.2777, 0.0743)

Its space group is Pm.

The least stable of them is #a.

#a
BaSc2Ir | GGA-PBE | optimized geometry

a b c (Å): 11.3173 11.3173 11.3173
angles (deg): 16.53 16.53 16.53
Fractional coordinates of all 4 atoms:
Sc (0.9277, 0.9277, 0.9277)
Sc (0.0723, 0.0723, 0.0723)
Ir (0.0000, 0.0000, 0.0000)
Ba (0.5000, 0.5000, 0.5000)

Its space group is R-3m.

#b
BaSc2Ir | GGA-PBE | optimized geometry

a b c (Å): 4.1527 4.1527 8.4906
angles (deg): 75.88 75.88 59.98
Fractional coordinates of all 4 atoms:
Ba (0.5011, 0.5011, 0.4978)
Ir (0.3326, 0.3326, 0.0018)
Sc (0.9543, 0.9543, 0.1369)
Sc (0.7120, 0.7120, 0.8635)

Its space group is R3m.

The least stable of them is #a.

#a
BaSc2Ir | GGA-PBE | optimized geometry

a b c (Å): 8.2628 8.2628 8.2628
angles (deg): 156.48 148.70 39.52
Fractional coordinates of all 4 atoms:
Ba (0.4234, 0.4234, 0.0000)
Ir (0.2326, 0.7326, 0.5000)
Sc (0.1036, 0.1036, 0.0000)
Sc (0.7404, 0.2404, 0.5000)

Its space group is Imm2.

#b
BaSc2Ir | GGA-PBE | optimized geometry

a b c (Å): 6.3008 6.3008 8.9737
angles (deg): 69.45 69.45 90.00
Fractional coordinates of all 8 atoms:
Sc (0.8748, 0.1250, 0.2500)
Sc (0.8752, 0.6250, 0.2500)
Sc (0.3750, 0.1252, 0.7500)
Sc (0.8750, 0.1248, 0.7500)
Ir (0.0000, 0.0000, 0.0000)
Ir (0.7500, 0.2500, 0.5000)
Ba (0.5000, 0.5000, 0.0000)
Ba (0.2500, 0.7500, 0.5000)

Its space group is I4_1/amd.

#c
BaSc2Ir | GGA-PBE | optimized geometry

a b c (Å): 4.1466 4.1466 8.5083
angles (deg): 76.03 76.03 59.91
Fractional coordinates of all 4 atoms:
Ba (0.7500, 0.7500, 0.7500)
Ir (0.2500, 0.2500, 0.2500)
Sc (0.9616, 0.9616, 0.1140)
Sc (0.5384, 0.5384, 0.3860)

Its space group is C2/m.

#d
BaSc2Ir | GGA-PBE | optimized geometry

a b c (Å): 5.0313 5.0313 5.0313
angles (deg): 60.00 60.00 60.00
Fractional coordinates of all 4 atoms:
Sc (0.2500, 0.2500, 0.2500)
Sc (0.7500, 0.7500, 0.7500)
Ir (0.5000, 0.5000, 0.5000)
Ba (0.0000, 0.0000, 0.0000)

Its space group is Fm-3m.

The least stable of them is #b.

#a
Ba2ScIr | GGA-PBE | optimized geometry

a b c (Å): 7.0538 7.0538 7.0538
angles (deg): 148.57 129.40 60.79
Fractional coordinates of all 4 atoms:
Ba (0.9954, 0.9954, 0.0000)
Ba (0.3119, 0.8119, 0.5000)
Ir (0.5289, 0.5289, 0.0000)
Sc (0.6639, 0.1639, 0.5000)

Its space group is Imm2.

#b
Ba2ScIr | GGA-PBE | optimized geometry

a b c (Å): 6.3076 6.3076 6.3076
angles (deg): 137.41 137.41 61.81
Fractional coordinates of all 4 atoms:
Ba (0.0000, 0.0000, 0.0000)
Ba (0.5000, 0.5000, 0.0000)
Ir (0.2500, 0.7500, 0.5000)
Sc (0.7500, 0.2500, 0.5000)

Its space group is I4/mmm.

The least stable of them is #b.

#a
Ba2ScIr | GGA-PBE | optimized geometry

a b c (Å): 3.7480 4.0105 9.7774
angles (deg): 78.26 90.00 90.00
Fractional coordinates of all 4 atoms:
Ba (0.0000, 0.1017, 0.9240)
Ba (0.5000, 0.3975, 0.3290)
Ir (0.0000, 0.2602, 0.6039)
Sc (0.5000, 0.7407, 0.6431)

Its space group is Pm.

#b
Ba2ScIr | GGA-PBE | optimized geometry

a b c (Å): 10.3640 10.3640 10.3640
angles (deg): 23.42 23.42 23.42
Last column: magnetic moment on the atom in μB.
Fractional coordinates of all 4 atoms:
Ba (0.9769, 0.9769, 0.9769)  0.04
Ba (0.5231, 0.5231, 0.5231)  0.04
Ir (0.2500, 0.2500, 0.2500)  -0.01
Sc (0.7500, 0.7500, 0.7500)  0.80

Its space group is R-3m.

The least stable of them is #b.